Here is a geometry-optimized LaDy2Cd3 structure from the Alexandria database. Energies are from PBE.

Cell lengths 3.778, 3.778, 11.598 Å; angles 90.00, 90.00, 90.00 degrees
Space group P4/mmm (No. 123)
Unique sites:
1 La 0.000 0.000 0.000 x1
2 Dy 0.000 0.000 0.340 x2
3 Cd 0.500 0.500 0.186 x2
4 Cd 0.500 0.500 0.500 x1

Values from the calculation:
Calculated volume, Å³/atom: 27.591
Formation energy, meV/atom: -317
Calculated total energy, eV/atom: -3.1302
DOS at the Fermi energy, states/eV per cell: 6.86



Here is a geometry-optimized Ag2HgCl2 structure from the Alexandria database. Energies are from PBE.

Cell lengths 5.272, 5.272, 13.366 Å; angles 90.00, 90.00, 90.00 degrees
Space group I4/mmm (No. 139)
Unique sites:
1 Ag 0.000 0.000 0.212 x4
2 Hg 0.000 0.000 0.000 x2
3 Cl 0.000 0.500 0.250 x4

Values from the calculation:
E above lowest polymorph, meV per atom: 0
Formation energy without anion corrections, kcal/mol of atoms: -7.2
Calculated volume, Å³/atom: 37.149
Calculated total energy, eV/atom: -2.2507
DOS at the Fermi energy, states/eV per cell: 0.00



Here is a geometry-optimized MgCoP2 structure from the Alexandria database. Energies are from PBE.

Cell lengths 3.191, 3.191, 5.551 Å; angles 90.00, 90.00, 90.00 degrees
Space group P4/mmm (No. 123)
Unique sites:
1 Mg 0.000 0.000 0.000 x1
2 Co 0.000 0.000 0.500 x1
3 P 0.500 0.500 0.303 x2

Values from the calculation:
Calculated volume, Å³/atom: 14.130
Formation energy, meV/atom: -97
Calculated total energy, eV/atom: -4.9773
DOS at the Fermi energy, states/eV per cell: 2.18



Here is a geometry-optimized YPu3Pt4 structure from the Alexandria database. Energies are from PBE.

Cell lengths 3.464, 3.464, 14.423 Å; angles 90.00, 90.00, 90.00 degrees
Space group P4/mmm (No. 123)
Unique sites:
1 Y 0.000 0.000 0.000 x1
2 Pu 0.000 0.000 0.250 x2
3 Pu 0.000 0.000 0.500 x1
4 Pt 0.500 0.500 0.120 x2
5 Pt 0.500 0.500 0.374 x2

Values from the calculation:
Calculated volume, Å³/atom: 21.627
Formation energy, meV/atom: -821
Calculated total energy, eV/atom: -10.0234
DOS at the Fermi energy, states/eV per cell: 34.98



Here is a geometry-optimized LaTb5PmTm2 structure from the Alexandria database. Energies are from PBE.

Cell lengths 5.629, 19.913, 10.608 Å; angles 90.00, 90.00, 90.00 degrees
Space group Cmc2_1 (No. 36)
Unique sites:
1 La 0.000 0.082 0.000 x4
2 Tb 0.000 0.022 0.289 x4
3 Tb 0.000 0.111 0.578 x4
4 Tb 0.000 0.203 0.261 x4
5 Tb 0.000 0.219 0.865 x4
6 Tb 0.000 0.484 0.579 x4
7 Pm 0.000 0.299 0.565 x4
8 Tm 0.000 0.386 0.873 x4
9 Tm 0.000 0.389 0.287 x4

Values from the calculation:
Calculated volume, Å³/atom: 33.033
Formation energy, meV/atom: 163
Calculated total energy, eV/atom: -4.4784
DOS at the Fermi energy, states/eV per cell: 56.87



Here is a geometry-optimized VCuAu structure from the Alexandria database. Energies are from PBE.

Cell lengths 4.3907, 4.3907, 2.6246 Å; angles 90.00, 90.00, 120.00 degrees
Space group P3m1 (No. 156)
Unique sites:
1 V 0.0000 0.0000 0.0000 x1
2 Cu 0.3333 0.6667 0.4966 x1
3 Au 0.6667 0.3333 0.5015 x1

Values from the calculation:
E above lowest polymorph, meV per atom: 100
Calculated volume, Å³/atom: 14.606
Formation energy, meV/atom: 105
Calculated total energy, eV/atom: -5.3921
DOS at the Fermi energy, states/eV per cell: 2.38



Here is a geometry-optimized Rb2AuI structure from the Alexandria database. Energies are from PBE.

Cell lengths 8.702, 8.702, 8.702 Å; angles 90.00, 90.00, 90.00 degrees
Space group Fm-3m (No. 225)
Unique sites:
1 Rb 0.250 0.250 0.250 x8
2 Au 0.000 0.000 0.000 x4
3 I 0.000 0.000 0.500 x4

Values from the calculation:
E above lowest polymorph, meV per atom: 26
Formation energy without anion corrections, kcal/mol of atoms: -19.6
Calculated volume, Å³/atom: 41.180
Calculated total energy, eV/atom: -2.5404
DOS at the Fermi energy, states/eV per cell: 0.00



Here is a geometry-optimized AcTbPm2Nd structure from the Alexandria database. Energies are from PBE.

Cell lengths 8.372, 12.296, 7.380 Å; angles 90.00, 90.00, 90.00 degrees
Space group Cmcm (No. 63)
Unique sites:
1 Ac 0.000 0.242 0.250 x4
2 Tb 0.000 0.307 0.750 x4
3 Pm 0.195 0.500 0.000 x8
4 Nd 0.000 0.059 0.750 x4

Values from the calculation:
Calculated volume, Å³/atom: 37.983
Formation energy, meV/atom: 336
Calculated total energy, eV/atom: -4.2658
DOS at the Fermi energy, states/eV per cell: 27.26



Here is a geometry-optimized Dy5Ho4Mg2 structure from the Alexandria database. Energies are from PBE.

Cell lengths 3.480, 8.097, 11.988 Å; angles 90.49, 90.01, 102.32 degrees
Space group P-1 (No. 2)
Unique sites:
1 Dy 0.000 0.000 0.000 x1
2 Dy 0.256 0.511 0.628 x2
3 Dy 0.318 0.635 0.901 x2
4 Ho 0.054 0.107 0.295 x2
5 Ho 0.368 0.737 0.183 x2
6 Mg 0.413 0.826 0.457 x2

Values from the calculation:
E above lowest polymorph, meV per atom: 0
Calculated volume, Å³/atom: 29.996
Formation energy, meV/atom: 12
Calculated total energy, eV/atom: -4.0347
DOS at the Fermi energy, states/eV per cell: 13.31



Here is a geometry-optimized PrDy2RuO8 structure from the Alexandria database. Energies are from PBE.

Cell lengths 5.078, 6.889, 5.090 Å; angles 90.00, 90.50, 90.00 degrees
Space group P2/m (No. 10)
Unique sites:
1 Pr 0.000 0.000 0.000 x1
2 Dy 0.500 0.250 0.500 x2
3 Ru 0.000 0.500 0.000 x1
4 O 0.188 0.298 0.185 x4
5 O 0.263 0.500 0.735 x2
6 O 0.315 0.000 0.681 x2

Values from the calculation:
Formation energy without anion corrections, kcal/mol of atoms: -54.1
Calculated volume, Å³/atom: 14.839
Calculated total energy, eV/atom: -7.5907
DOS at the Fermi energy, states/eV per cell: 3.90



Here is a geometry-optimized Tl4In structure from the Alexandria database. Energies are from PBE.

Cell lengths 7.164, 7.164, 7.164 Å; angles 90.00, 90.00, 90.00 degrees
Space group Im-3m (No. 229)
Unique sites:
1 Tl 0.250 0.250 0.250 x8
2 In 0.000 0.000 0.000 x2

Values from the calculation:
E above lowest polymorph, meV per atom: 177
Calculated volume, Å³/atom: 36.768
Formation energy, meV/atom: 213
Calculated total energy, eV/atom: -2.2277
DOS at the Fermi energy, states/eV per cell: 8.27



Here is a geometry-optimized KNi2As structure from the Alexandria database. Energies are from PBE.

Cell lengths 6.510, 6.510, 6.510 Å; angles 90.00, 90.00, 90.00 degrees
Space group F-43m (No. 216)
Unique sites:
1 K 0.000 0.000 0.000 x4
2 Ni 0.000 0.000 0.500 x4
3 Ni 0.250 0.250 0.750 x4
4 As 0.250 0.250 0.250 x4

Values from the calculation:
Calculated volume, Å³/atom: 17.241
Formation energy, meV/atom: 727
Calculated total energy, eV/atom: -3.6007
DOS at the Fermi energy, states/eV per cell: 22.78



Here is a geometry-optimized SiAgHg3 structure from the Alexandria database. Energies are from PBE.

Cell lengths 5.144, 5.144, 5.144 Å; angles 90.00, 90.00, 90.00 degrees
Space group Pm-3m (No. 221)
Unique sites:
1 Si 0.000 0.000 0.000 x1
2 Ag 0.500 0.500 0.500 x1
3 Hg 0.000 0.000 0.500 x3

Values from the calculation:
E above lowest polymorph, meV per atom: 0
Formation energy without anion corrections, kcal/mol of atoms: 9.9
Calculated volume, Å³/atom: 27.230
Calculated total energy, eV/atom: -1.4048
DOS at the Fermi energy, states/eV per cell: 2.51



Here is a geometry-optimized Pr5AgHg2Rh2 structure from the Alexandria database. Energies are from PBE.

Cell lengths 12.031, 12.031, 3.829 Å; angles 90.00, 90.00, 90.00 degrees
Space group P4/mbm (No. 127)
Unique sites:
1 Pr 0.000 0.500 0.000 x2
2 Pr 0.087 0.200 0.000 x8
3 Ag 0.000 0.000 0.500 x2
4 Hg 0.172 0.672 0.500 x4
5 Rh 0.131 0.369 0.500 x4

Values from the calculation:
Calculated volume, Å³/atom: 27.711
Formation energy, meV/atom: -432
Calculated total energy, eV/atom: -4.6375
DOS at the Fermi energy, states/eV per cell: 15.59



Here is a geometry-optimized CuAu2F8 structure from the Alexandria database. Energies are from PBE.

Cell lengths 12.475, 7.066, 4.149 Å; angles 90.00, 95.80, 90.00 degrees
Space group C2/m (No. 12)
Unique sites:
1 Cu 0.000 0.000 0.000 x2
2 Au 0.236 0.500 0.784 x4
3 F 0.080 0.500 0.705 x4
4 F 0.104 0.168 0.130 x8
5 F 0.249 0.000 0.711 x4

Values from the calculation:
E above lowest polymorph, meV per atom: 195
Formation energy without anion corrections, kcal/mol of atoms: -22.0
Calculated volume, Å³/atom: 16.538
Calculated total energy, eV/atom: -3.2827
DOS at the Fermi energy, states/eV per cell: 5.11



Here is a geometry-optimized Na2Li2PaS4 structure from the Alexandria database. Energies are from PBE.

Cell lengths 14.859, 4.002, 7.562 Å; angles 90.00, 118.88, 90.00 degrees
Space group C2/m (No. 12)
Unique sites:
1 Na 0.152 0.000 0.047 x4
2 Li 0.179 0.500 0.473 x4
3 Pa 0.000 0.000 0.500 x2
4 S 0.006 0.500 0.752 x4
5 S 0.211 0.000 0.684 x4

Values from the calculation:
Formation energy without anion corrections, kcal/mol of atoms: -31.6
Calculated volume, Å³/atom: 21.875
Calculated total energy, eV/atom: -4.9789
DOS at the Fermi energy, states/eV per cell: 10.77



Here is a geometry-optimized AcLaAlIr structure from the Alexandria database. Energies are from PBE.

Cell lengths 7.524, 7.524, 7.524 Å; angles 90.00, 90.00, 90.00 degrees
Space group F-43m (No. 216)
Unique sites:
1 Ac 0.000 0.000 0.000 x4
2 La 0.000 0.000 0.500 x4
3 Al 0.250 0.250 0.250 x4
4 Ir 0.250 0.250 0.750 x4

Values from the calculation:
Calculated volume, Å³/atom: 26.624
Formation energy, meV/atom: -306
Calculated total energy, eV/atom: -5.7159
DOS at the Fermi energy, states/eV per cell: 15.32



Here is a geometry-optimized Li14TlGe structure from the Alexandria database. Energies are from PBE.

Cell lengths 6.746, 6.746, 6.432 Å; angles 90.00, 90.00, 90.00 degrees
Space group P4/mmm (No. 123)
Unique sites:
1 Li 0.000 0.000 0.000 x1
2 Li 0.000 0.500 0.000 x2
3 Li 0.000 0.500 0.500 x2
4 Li 0.238 0.238 0.273 x8
5 Li 0.500 0.500 0.000 x1
6 Tl 0.500 0.500 0.500 x1
7 Ge 0.000 0.000 0.500 x1

Values from the calculation:
Calculated volume, Å³/atom: 18.295
Formation energy, meV/atom: -129
Calculated total energy, eV/atom: -2.2397
DOS at the Fermi energy, states/eV per cell: 5.69



Here is a geometry-optimized CoAg2Ru structure from the Alexandria database. Energies are from PBE.

Cell lengths 2.994, 4.389, 4.687 Å; angles 90.00, 90.00, 90.00 degrees
Space group Pmmm (No. 47)
Unique sites:
1 Co 0.000 0.000 0.000 x1
2 Ag 0.000 0.500 0.500 x1
3 Ag 0.500 0.000 0.500 x1
4 Ru 0.500 0.500 0.000 x1

Values from the calculation:
E above lowest polymorph, meV per atom: 242
Calculated volume, Å³/atom: 15.397
Formation energy, meV/atom: 563
Calculated total energy, eV/atom: -4.9579
DOS at the Fermi energy, states/eV per cell: 3.51



Here is a geometry-optimized Ba3BeHg structure from the Alexandria database. Energies are from PBE.

Cell lengths 6.233, 6.233, 6.233 Å; angles 90.00, 90.00, 90.00 degrees
Space group Pm-3m (No. 221)
Unique sites:
1 Ba 0.000 0.000 0.500 x3
2 Be 0.000 0.000 0.000 x1
3 Hg 0.500 0.500 0.500 x1

Values from the calculation:
E above lowest polymorph, meV per atom: 0
Calculated volume, Å³/atom: 48.420
Formation energy, meV/atom: 274
Calculated total energy, eV/atom: -1.6855
DOS at the Fermi energy, states/eV per cell: 11.51



Here is a geometry-optimized BeAuCl3 structure from the Alexandria database. Energies are from PBE.

Cell lengths 5.043, 5.043, 5.043 Å; angles 90.00, 90.00, 90.00 degrees
Space group Pm-3m (No. 221)
Unique sites:
1 Be 0.000 0.000 0.000 x1
2 Au 0.500 0.500 0.500 x1
3 Cl 0.000 0.500 0.500 x3

Values from the calculation:
E above lowest polymorph, meV per atom: 680
Formation energy without anion corrections, kcal/mol of atoms: 9.3
Calculated volume, Å³/atom: 25.646
Calculated total energy, eV/atom: -2.1042
DOS at the Fermi energy, states/eV per cell: 1.38



Here is a geometry-optimized RbAlTl2 structure from the Alexandria database. Energies are from PBE.

Cell lengths 6.177, 6.177, 18.409 Å; angles 90.00, 90.00, 90.00 degrees
Space group I-42d (No. 122)
Unique sites:
1 Rb 0.000 0.000 0.000 x4
2 Al 0.000 0.000 0.500 x4
3 Tl 0.003 0.250 0.625 x8

Values from the calculation:
E above lowest polymorph, meV per atom: 175
Calculated volume, Å³/atom: 43.897
Formation energy, meV/atom: 205
Calculated total energy, eV/atom: -2.1558
DOS at the Fermi energy, states/eV per cell: 7.26



Here is a geometry-optimized Nb2HgCl2 structure from the Alexandria database. Energies are from PBE.

Cell lengths 7.872, 7.872, 2.903 Å; angles 90.00, 90.00, 90.00 degrees
Space group P4/mbm (No. 127)
Unique sites:
1 Nb 0.177 0.323 0.000 x4
2 Hg 0.000 0.000 0.500 x2
3 Cl 0.127 0.627 0.500 x4

Values from the calculation:
E above lowest polymorph, meV per atom: 404
Formation energy without anion corrections, kcal/mol of atoms: 7.4
Calculated volume, Å³/atom: 17.989
Calculated total energy, eV/atom: -4.5068
DOS at the Fermi energy, states/eV per cell: 5.53



Here is a geometry-optimized HfSb2RhI structure from the Alexandria database. Energies are from PBE.

Cell lengths 5.125, 5.125, 5.261 Å; angles 90.00, 90.00, 90.00 degrees
Space group P4/mmm (No. 123)
Unique sites:
1 Hf 0.000 0.000 0.000 x1
2 Sb 0.000 0.500 0.500 x2
3 Rh 0.500 0.500 0.500 x1
4 I 0.500 0.500 0.000 x1

Values from the calculation:
E above lowest polymorph, meV per atom: 0
Formation energy without anion corrections, kcal/mol of atoms: 13.4
Calculated volume, Å³/atom: 27.632
Calculated total energy, eV/atom: -4.8398
DOS at the Fermi energy, states/eV per cell: 5.17



Here is a geometry-optimized KTcIr2 structure from the Alexandria database. Energies are from PBE.

Cell lengths 6.437, 6.437, 6.437 Å; angles 90.00, 90.00, 90.00 degrees
Space group F-43m (No. 216)
Unique sites:
1 K 0.000 0.000 0.000 x4
2 Tc 0.250 0.250 0.250 x4
3 Ir 0.000 0.000 0.500 x4
4 Ir 0.250 0.250 0.750 x4

Values from the calculation:
E above lowest polymorph, meV per atom: 945
Calculated volume, Å³/atom: 16.671
Formation energy, meV/atom: 1300
Calculated total energy, eV/atom: -5.9964
DOS at the Fermi energy, states/eV per cell: 32.27